Arrangement w

The following is a DFT calculation (GGA-PBE) of an optimized crystal structure of Ba3PtO4.

Cell: 5.0042 8.6440 8.7052 Å, 90.00 90.00 90.00°
Fractional coordinates of all 16 atoms:
O 0.6319 0.2266 0.0000
O 0.1319 0.7734 0.5000
O 0.0587 0.2723 0.7658
O 0.5556 0.1875 0.5000
O 0.5587 0.7277 0.2658
O 0.0556 0.8125 0.0000
O 0.0587 0.2723 0.2342
O 0.5587 0.7277 0.7342
Ba 0.5567 0.3513 0.2683
Ba 0.0579 0.0808 0.5000
Ba 0.0567 0.6487 0.2317
Ba 0.5579 0.9192 0.0000
Ba 0.0567 0.6487 0.7683
Ba 0.5567 0.3513 0.7317
Pt 0.5391 0.7290 0.5000
Pt 0.0391 0.2710 0.0000

Values from the calculation:
Its density of states at the Fermi level is 0.82 states/eV/atom. The total magnetization is 0.78 Bohr magnetons per cell.

=====

Arrangement x

The following is a DFT calculation (GGA-PBE) of an optimized crystal structure of Ba3PtO4.

Cell: 5.8420 5.8420 5.8420 Å, 103.35 112.62 112.62°
Fractional coordinates of all 8 atoms:
Pt 0.0000 0.0000 0.0000
Ba 0.0000 0.5000 0.5000
Ba 0.5000 0.2500 0.7500
Ba 0.5000 0.7500 0.2500
O 0.0000 0.2252 0.7744
O 0.4508 0.2256 0.2256
O 0.5492 0.7748 0.7748
O 0.0000 0.7744 0.2252

Values from the calculation:
Its density of states at the Fermi level is 0.00 states/eV/atom. The total magnetization is 0.00 Bohr magnetons per cell.

=====

It turns out arrangement x is the most stable, with the second structure 184 meV per atom higher.